Below is a relaxed YIrC3 crystal, with properties calculated at the PBE-GGA level.

For the volume, the calculation gives 15.9 A^3/atom. The calculation puts the energy at -5.326 eV per atom. The calculation puts the formation energy at 3273.7 meV/atom. The calculation puts the energy above the most stable polymorph in this dataset at 10.21 eV per formula unit.

It has space group Pm-3m (No. 221), with a = 4.2976 Å, b = 4.2976 Å, c = 4.2976 Å, α = 90.00°, β = 90.00° and γ = 90.00°. The asymmetric unit holds Y at (0.0000, 0.0000, 0.0000), Ir at (0.5000, 0.5000, 0.5000) and C at (0.0000, 0.0000, 0.5000).